VASP calculation (GGA-PBE) on ZnTcNi4 after structural relaxation.

Properties
space group: No. 216
N(E_F): 1.3535 states/eV/atom
energy of formation from the pure elements: 0.0896 eV/atom
final energy: -5.7046 eV/atom

```
ZnTcNi4
1.0
0.000 3.326 3.326
3.326 0.000 3.326
3.326 3.326 0.000
Zn Tc Ni
1 1 4
Cartesian
0.000 0.000 0.000
1.663 1.663 1.663
4.159 2.493 2.493
2.493 4.159 2.493
2.493 2.493 4.159
4.159 4.159 4.159
```

***

VASP calculation (GGA-PBE) on Zn3TcNi after structural relaxation.

Properties
space group: No. 221
N(E_F): 1.5270 states/eV/atom
energy of formation from the pure elements: 1.2012 eV/atom
final energy: -2.7927 eV/atom

```
Zn3TcNi
1.0
4.761 0.000 0.000
0.000 4.761 0.000
0.000 0.000 4.761
Zn Tc Ni
3 1 1
Cartesian
0.000 0.000 2.381
0.000 2.381 0.000
2.381 0.000 0.000
0.000 0.000 0.000
2.381 2.381 2.381
```